A relaxed CdAsRh2 crystal. Source: Alexandria via LeMat-Bulk, functional PBEsol.

Cell and atoms, written as CIF:
```
data_CdAsRh2
_cell_length_a 6.943
_cell_length_b 3.013
_cell_length_c 6.408
_cell_angle_alpha 90.00
_cell_angle_beta 101.10
_cell_angle_gamma 90.00
_space_group_name_H-M_alt 'C 1 2/m 1'
_space_group_IT_number 12
_space_group_name_Hall '-C 2y'
loop_
_atom_site_label
_atom_site_type_symbol
_atom_site_fract_x
_atom_site_fract_y
_atom_site_fract_z
Cd1 Cd 0.000 0.000 0.000
As1 As 0.000 0.500 0.500
Rh1 Rh 0.242 0.000 0.697
```

Summary:
**Total magnetization**: 0.00 μB/cell
**Total DFT energy (no corrections)**: -5.82 eV/atom
**Energy above the lowest structure with this stoichiometry**: 41 kJ/mol of formula units

=====

A relaxed CrCuPb2 crystal. Source: Alexandria via LeMat-Bulk, functional PBEsol.

Cell and atoms, written as CIF:
```
data_CrCuPb2
_cell_length_a 3.372
_cell_length_b 4.623
_cell_length_c 10.529
_cell_angle_alpha 90.00
_cell_angle_beta 90.00
_cell_angle_gamma 90.00
_space_group_name_H-M_alt 'I m m 2'
_space_group_IT_number 44
_space_group_name_Hall 'I 2 -2'
loop_
_atom_site_label
_atom_site_type_symbol
_atom_site_fract_x
_atom_site_fract_y
_atom_site_fract_z
Cr1 Cr 0.000 0.000 0.000
Cu1 Cu 0.000 0.500 0.310
Pb1 Pb 0.000 0.000 0.557
Pb2 Pb 0.000 0.500 0.777
```

Summary:
**Total magnetization**: 7.33 μB/cell
**Total DFT energy (no corrections)**: -5.13 eV/atom
**Energy above the lowest structure with this stoichiometry**: 4 kJ/mol of formula units

=====

A relaxed BaCuAu2 crystal. Source: Alexandria via LeMat-Bulk, functional PBEsol.

Cell and atoms, written as CIF:
```
data_BaCuAu2
_cell_length_a 7.104
_cell_length_b 7.104
_cell_length_c 7.104
_cell_angle_alpha 90.00
_cell_angle_beta 90.00
_cell_angle_gamma 90.00
_space_group_name_H-M_alt 'F -4 3 m'
_space_group_IT_number 216
_space_group_name_Hall 'F -4 2 3'
loop_
_atom_site_label
_atom_site_type_symbol
_atom_site_fract_x
_atom_site_fract_y
_atom_site_fract_z
Ba1 Ba 0.000 0.000 0.000
Cu1 Cu 0.250 0.250 0.250
Au1 Au 0.000 0.000 0.500
Au2 Au 0.250 0.250 0.750
```

Summary:
**Total magnetization**: 0.00 μB/cell
**Total DFT energy (no corrections)**: -3.60 eV/atom

=====

A relaxed SrLa3Ir crystal. Source: Alexandria via LeMat-Bulk, functional PBEsol.

Cell and atoms, written as CIF:
```
data_SrLa3Ir
_cell_length_a 8.038
_cell_length_b 11.419
_cell_length_c 7.968
_cell_angle_alpha 90.00
_cell_angle_beta 90.00
_cell_angle_gamma 90.00
_space_group_name_H-M_alt 'I m m a'
_space_group_IT_number 74
_space_group_name_Hall '-I 2b 2'
loop_
_atom_site_label
_atom_site_type_symbol
_atom_site_fract_x
_atom_site_fract_y
_atom_site_fract_z
Sr1 Sr 0.000 0.250 0.048
La1 La 0.000 0.250 0.535
La2 La 0.250 0.017 0.750
Ir1 Ir 0.000 0.000 0.500
```

Summary:
**Total magnetization**: 0.00 μB/cell
**Total DFT energy (no corrections)**: -5.80 eV/atom
**Energy above the lowest structure with this stoichiometry**: 0 kJ/mol of formula units

=====

no.,volume (Å³/cell)
1,131.6
2,164.1
3,358.5
4,731.4